## i
Here is a relaxed structure of Pm3PrZn from Alexandria. Energies are from PBE.

Output
Total magnetic moment   0.0 μB per formula unit
DOS(E_F)   1.48 states/eV per atom
Crystal system   monoclinic

abc: 3.724 6.363 13.982
angles: 104.12 97.65 90.00
Sites, in units of the cell vectors:
Zn: 0.436 0.399 0.873
Zn: 0.564 0.601 0.127
Pm: 0.988 0.746 0.976
Pm: 0.390 0.897 0.780
Pm: 0.012 0.254 0.024
Pm: 0.151 0.651 0.301
Pm: 0.610 0.103 0.220
Pm: 0.849 0.349 0.699
Pr: 0.771 0.774 0.542
Pr: 0.229 0.226 0.458

=====

## ii
Here is a relaxed structure of Pm3PrZn from Alexandria. Energies are from PBE.

Output
Total magnetic moment   0.0 μB per formula unit
DOS(E_F)   1.49 states/eV per atom
Crystal system   monoclinic

abc: 7.666 7.666 7.526
angles: 104.12 116.72 108.60
Sites, in units of the cell vectors:
Pm: 0.773 0.517 0.678
Pm: 0.303 0.573 0.876
Pm: 0.838 0.094 0.322
Pm: 0.227 0.483 0.322
Pm: 0.162 0.906 0.678
Pm: 0.697 0.427 0.124
Zn: 0.362 0.263 0.625
Zn: 0.638 0.737 0.375
Pr: 0.736 0.049 0.785
Pr: 0.264 0.951 0.215

=====

If you had to bet on the most stable structure above, which would it be? Bet on i.